[1]
Computed, not measured: an optimized crystal structure of Mg8InIr2 at the GGA-PBE level of DFT.

Its space group is P1. The calculation puts the formation energy at -0.1905 eV/atom. For the relative energy among the computed polymorphs, the calculation gives 0.128 kcal/mol of atoms. The density of states at the Fermi level is 4.897 states/eV/f.u. The total magnetization is 0.00 μB/f.u.

Lattice parameters (Å, degrees): 4.7285 6.4889 8.0993 112.58 105.44 92.65
Closest atoms and distances in Å follow each position.
Positions (direct):
Ir  0.7643  0.6089  0.2373  9 Mg 2.69-2.98
Ir  0.4358  0.2793  0.5807  9 Mg 2.69-2.96
Mg  0.2553  0.5146  0.9097  2 Mg 2.74-3.07, 2 Ir 2.89-2.90, 1 In 2.94
Mg  0.9341  0.0209  0.5578  3 Ir 2.76-2.96, 4 Mg 2.95-3.08, 1 In 2.95
Mg  0.3100  0.8482  0.3106  3 Ir 2.72-2.77, 5 Mg 2.93-2.97
Mg  0.5126  0.7309  0.6708  1 Ir 2.71, 2 Mg 2.91-2.98, 2 In 2.95-3.03
Mg  0.2886  0.3706  0.2597  3 Ir 2.76-2.98, 3 Mg 2.95-2.98, 1 In 2.95
Mg  0.6951  0.2535  0.9095  2 Ir 2.69, 1 Mg 2.74, 1 In 2.94
Mg  0.7482  0.9699  0.1472  1 Ir 2.71, 2 Mg 2.93-2.96, 2 In 2.96-3.01
Mg  0.9108  0.4475  0.5079  3 Ir 2.72-2.77, 5 Mg 2.91-2.98
In  0.1450  0.9556  0.9087  9 Mg 2.94-3.17

***

[2]
Computed, not measured: an optimized crystal structure of MgInIr2 at the GGA-PBE level of DFT.

Its space group is P4/mmm. The calculation puts the formation energy at -0.2227 eV/atom. For the relative energy among the computed polymorphs, the calculation gives 0.570 kcal/mol of atoms. The density of states at the Fermi level is 1.209 states/eV/f.u. The total magnetization is 0.00 μB/f.u.

Lattice parameters (Å, degrees): 3.1996 3.1996 6.3130 90.00 90.00 90.00
Closest atoms and distances in Å follow each position.
Positions (direct):
Ir  0.0000  0.0000  0.0077  4 Mg 2.73, 4 In 2.79
Ir  0.0000  0.0000  0.4923  4 Mg 2.73, 4 In 2.79
Mg  0.5000  0.5000  0.2500  8 Ir 2.73
In  0.5000  0.5000  0.7500  8 Ir 2.79

***

[3]
Computed, not measured: an optimized crystal structure of MgInIr at the GGA-PBE level of DFT.

Its space group is Imm2. The calculation puts the formation energy at -0.2286 eV/atom. The density of states at the Fermi level is 1.262 states/eV/f.u. The total magnetization is 0.00 μB/f.u.

Lattice parameters (Å, degrees): 5.1091 5.1091 5.1091 144.30 136.94 57.13
Closest atoms and distances in Å follow each position.
Positions (direct):
In  0.9930  0.9930  0.0000  5 Mg 2.81-2.96, 5 Ir 2.86-3.00, 2 In 3.13
Mg  0.6801  0.6801  0.0000  4 Ir 2.78, 5 In 2.81-2.96
Ir  0.3269  0.3269  0.0000  4 Mg 2.78, 5 In 2.86-3.00

***

[4]
Computed, not measured: an optimized crystal structure of MgInIr2 at the GGA-PBE level of DFT.

Its space group is C2/m. The calculation puts the formation energy at -0.0784 eV/atom. For the relative energy among the computed polymorphs, the calculation gives 3.899 kcal/mol of atoms. The density of states at the Fermi level is 2.409 states/eV/f.u. The total magnetization is 0.00 μB/f.u.

Lattice parameters (Å, degrees): 4.7424 4.7424 5.0534 79.95 79.95 36.09
Closest atoms and distances in Å follow each position.
Positions (direct):
In  0.7500  0.7500  0.7500  6 Ir 2.80-2.82, 4 Mg 2.92, 2 In 2.94
Ir  0.9980  0.9980  0.0127  3 Mg 2.76, 3 In 2.80-2.82, 6 Ir 2.82-3.03
Ir  0.5020  0.5020  0.4873  3 Mg 2.76, 3 In 2.80-2.82, 6 Ir 2.82-3.03
Mg  0.2500  0.2500  0.2500  6 Ir 2.76, 4 In 2.92, 2 Mg 2.94

***

[5]
Computed, not measured: an optimized crystal structure of MgInIr at the GGA-PBE level of DFT.

Its space group is Pmmm. The calculation puts the formation energy at -0.3074 eV/atom. The density of states at the Fermi level is 1.020 states/eV/f.u. The total magnetization is 0.00 μB/f.u.

Lattice parameters (Å, degrees): 2.9929 4.5699 4.5949 90.00 90.00 90.00
Closest atoms and distances in Å follow each position.
Positions (direct):
Mg  0.0000  0.5000  0.5000  4 Ir 2.73, 2 Mg 2.99
In  0.0000  0.0000  0.0000  4 Ir 2.74, 2 In 2.99
Ir  0.5000  0.0000  0.5000  4 Mg 2.73, 4 In 2.74, 2 Ir 2.99

***

[6]
Computed, not measured: an optimized crystal structure of MgInIr2 at the GGA-PBE level of DFT.

Its space group is F-43m. The calculation puts the formation energy at 0.0485 eV/atom. For the relative energy among the computed polymorphs, the calculation gives 6.824 kcal/mol of atoms. The density of states at the Fermi level is 5.622 states/eV/f.u. The total magnetization is 0.21 μB/f.u.

Lattice parameters (Å, degrees): 4.5496 4.5496 4.5496 60.00 60.00 60.00
Closest atoms and distances in Å follow each position.
Positions (direct):
Ir  0.2500  0.2500  0.2500  4 Ir 2.79, 4 In 2.79
Ir  0.0000  0.0000  0.0000  4 Mg 2.79, 4 Ir 2.79
In  0.5000  0.5000  0.5000  4 Ir 2.79, 4 Mg 2.79
Mg  0.7500  0.7500  0.7500  4 In 2.79, 4 Ir 2.79

***

[7]
Computed, not measured: an optimized crystal structure of Mg6In2Ir at the GGA-PBE level of DFT.

Its space group is Immm. The calculation puts the formation energy at -0.1066 eV/atom. For the relative energy among the computed polymorphs, the calculation gives 0.000 kcal/mol of atoms. The density of states at the Fermi level is 3.186 states/eV/f.u. The total magnetization is 0.00 μB/f.u.

Lattice parameters (Å, degrees): 4.8808 8.0970 6.8527 126.21 110.89 90.00
Closest atoms and distances in Å follow each position.
Positions (direct):
Mg  0.1501  0.4478  0.2997  1 Ir 2.83, 3 In 2.85-2.98, 3 Mg 2.97-3.03
Mg  0.5000  0.8271  0.0000  5 Mg 2.80-3.03, 2 Ir 2.81
Mg  0.8499  0.5522  0.7003  1 Ir 2.83, 3 In 2.85-2.98, 3 Mg 2.97-3.03
Mg  0.8499  0.1481  0.7003  1 Ir 2.83, 3 In 2.85-2.98, 3 Mg 2.97-3.03
Mg  0.5000  0.1729  0.0000  5 Mg 2.80-3.03, 2 Ir 2.81
Mg  0.1501  0.8519  0.2997  1 Ir 2.83, 3 In 2.85-2.98, 3 Mg 2.97-3.03
In  0.6985  0.6977  0.3954  6 Mg 2.85-2.98, 1 Ir 3.00
In  0.3015  0.3023  0.6046  6 Mg 2.85-2.98, 1 Ir 3.00
Ir  0.0000  0.0000  0.0000  8 Mg 2.81-2.83, 2 In 3.00

***

[8]
Computed, not measured: an optimized crystal structure of MgInIr2 at the GGA-PBE level of DFT.

Its space group is Pmmm. The calculation puts the formation energy at 0.0103 eV/atom. For the relative energy among the computed polymorphs, the calculation gives 5.945 kcal/mol of atoms. The density of states at the Fermi level is 2.595 states/eV/f.u. The total magnetization is 0.00 μB/f.u.

Lattice parameters (Å, degrees): 3.1296 4.8350 4.3869 90.00 90.00 90.00
Closest atoms and distances in Å follow each position.
Positions (direct):
Mg  0.5000  0.0000  0.5000  4 Ir 2.69, 4 In 2.88
Ir  0.5000  0.5000  0.0000  4 In 2.69, 4 Ir 2.88
Ir  0.0000  0.0000  0.0000  4 Mg 2.69, 4 Ir 2.88
In  0.0000  0.5000  0.5000  4 Ir 2.69, 4 Mg 2.88

***

[9]
Computed, not measured: an optimized crystal structure of Mg4InIr at the GGA-PBE level of DFT.

Its space group is C2/c. The calculation puts the formation energy at -0.1883 eV/atom. For the relative energy among the computed polymorphs, the calculation gives 0.000 kcal/mol of atoms. The density of states at the Fermi level is 3.777 states/eV/f.u. The total magnetization is 0.02 μB/f.u.

Lattice parameters (Å, degrees): 5.5210 8.1254 7.4140 115.22 101.12 109.12
Closest atoms and distances in Å follow each position.
Positions (direct):
Ir  0.2477  0.9977  0.9955  8 Mg 2.65-2.73, 2 Ir 2.76
Ir  0.7523  0.0023  0.0045  8 Mg 2.65-2.73, 2 Ir 2.76
In  0.3739  0.6239  0.2478  10 Mg 3.00-3.34
In  0.6261  0.3761  0.7522  10 Mg 3.00-3.34
Mg  0.7124  0.3571  0.1593  2 Ir 2.72-2.73
Mg  0.6210  0.0614  0.3451  2 Ir 2.65-2.71
Mg  0.2241  0.2837  0.3451  2 Ir 2.65-2.71
Mg  0.3790  0.9386  0.6549  2 Ir 2.65-2.71
Mg  0.2876  0.6429  0.8407  2 Ir 2.72-2.73
Mg  0.7759  0.7163  0.6549  2 Ir 2.65-2.71
Mg  0.9469  0.8022  0.1593  2 Ir 2.72-2.73
Mg  0.0531  0.1978  0.8407  2 Ir 2.72-2.73

***

[10]
Computed, not measured: an optimized crystal structure of MgIn3Ir at the GGA-PBE level of DFT.

Its space group is Pm-3m. The calculation puts the formation energy at 0.0248 eV/atom. For the relative energy among the computed polymorphs, the calculation gives 2.863 kcal/mol of atoms. The density of states at the Fermi level is 1.755 states/eV/f.u. The total magnetization is 0.00 μB/f.u.

Lattice parameters (Å, degrees): 5.2071 5.2071 5.2071 90.00 90.00 90.00
Closest atoms and distances in Å follow each position.
Positions (direct):
In  0.0000  0.0000  0.5000  2 Ir 2.60
In  0.5000  0.0000  0.0000  2 Ir 2.60
In  0.0000  0.5000  0.0000  2 Ir 2.60
Ir  0.0000  0.0000  0.0000  6 In 2.60
Mg  0.5000  0.5000  0.5000  12 In 3.68

***

[11]
Computed, not measured: an optimized crystal structure of Mg2InIr2 at the GGA-PBE level of DFT.

Its space group is C2/m. The calculation puts the formation energy at -0.1835 eV/atom. The density of states at the Fermi level is 2.190 states/eV/f.u. The total magnetization is 0.00 μB/f.u.

Lattice parameters (Å, degrees): 7.0107 7.0105 5.3514 40.38 40.38 37.80
Closest atoms and distances in Å follow each position.
Positions (direct):
Mg  0.6666  0.6665  0.3020  5 Ir 2.67-2.90, 1 Mg 2.99
Mg  0.3334  0.3335  0.6980  5 Ir 2.67-2.90, 1 Mg 2.99
Ir  0.6670  0.6670  0.8000  5 Mg 2.67-2.90, 3 In 2.72, 3 Ir 2.99
Ir  0.3330  0.3330  0.2000  5 Mg 2.67-2.90, 3 In 2.72, 3 Ir 2.99
In  0.0000  0.0000  0.0000  6 Ir 2.72

***

[12]
Computed, not measured: an optimized crystal structure of Mg2InIr2 at the GGA-PBE level of DFT.

Its space group is I4/mmm. The calculation puts the formation energy at 0.0956 eV/atom. The density of states at the Fermi level is 3.482 states/eV/f.u. The total magnetization is 0.00 μB/f.u.

Lattice parameters (Å, degrees): 3.9090 3.9090 6.7355 73.13 73.13 90.00
Closest atoms and distances in Å follow each position.
Positions (direct):
In  0.0000  0.0000  0.0000  8 Ir 3.04
Mg  0.7500  0.2500  0.5000  4 Ir 2.66, 4 Mg 2.76
Mg  0.2500  0.7500  0.5000  4 Ir 2.66, 4 Mg 2.76
Ir  0.3970  0.3970  0.2060  1 Ir 2.53, 4 Mg 2.66
Ir  0.6030  0.6030  0.7940  1 Ir 2.53, 4 Mg 2.66